## RbHgGeBr2 (GGA-PBE)

Data for a relaxed RbHgGeBr2 crystal.

Cell and atoms, written as CIF:
```
data_RbHgGeBr2
_chemical_formula_sum 'Rb1 Hg1 Ge1 Br2'
_symmetry_space_group_name_H-M 'P 4/m m m'
_symmetry_Int_Tables_number 123
_symmetry_space_group_name_Hall '-P 4 2'
_cell_length_a 5.7235
_cell_length_b 5.7235
_cell_length_c 5.4738
_cell_angle_alpha 90.00
_cell_angle_beta 90.00
_cell_angle_gamma 90.00
loop_
_atom_site_label
_atom_site_type_symbol
_atom_site_fract_x
_atom_site_fract_y
_atom_site_fract_z
_atom_site_occupancy
Rb1 Rb 0.0000 0.0000 0.0000 1
Hg1 Hg 0.5000 0.5000 0.0000 1
Ge1 Ge 0.5000 0.5000 0.5000 1
Br1 Br 0.0000 0.5000 0.5000 1
```

Results
The value obtained for the electronic total energy is -2.5208 eV/atom. The calculated density is 4.8 g cm⁻³.

## Hg2SCl (GGA-PBE)

Data for a relaxed Hg2SCl crystal.

Cell and atoms, written as CIF:
```
data_Hg2SCl
_chemical_formula_sum 'Hg16 S8 Cl8'
_symmetry_space_group_name_H-M 'C 1 2/c 1'
_symmetry_Int_Tables_number 15
_cell_length_a 6.7660
_cell_length_b 20.4285
_cell_length_c 7.1048
_cell_angle_alpha 90.00
_cell_angle_beta 113.31
_cell_angle_gamma 90.00
loop_
_symmetry_equiv_pos_as_xyz
'x,y,z'
'-x,-y,-z'
'-x,y,-z+1/2'
'x,-y,z+1/2'
'x+1/2,y+1/2,z'
'-x+1/2,-y+1/2,-z'
'-x+1/2,y+1/2,-z+1/2'
'x+1/2,-y+1/2,z+1/2'
loop_
_atom_site_label
_atom_site_type_symbol
_atom_site_fract_x
_atom_site_fract_y
_atom_site_fract_z
_atom_site_occupancy
Hg1 Hg 0.1824 0.0642 0.2178 1
Hg2 Hg 0.2449 0.1866 0.7393 1
S1 S 0.0000 0.1044 0.7500 1
S2 S 0.0000 0.2326 0.2500 1
Cl1 Cl 0.0000 0.3487 0.7500 1
Cl2 Cl 0.0000 0.4794 0.2500 1
```

Results
Its energy above the most stable polymorph in this dataset is 0 meV per atom. The calculated density is 6.9 g cm⁻³.

## TaVGaRe (GGA-PBE)

Data for a relaxed TaVGaRe crystal.

Cell and atoms, written as CIF:
```
data_TaVGaRe
_chemical_formula_sum 'Ta4 V4 Ga4 Re4'
_symmetry_space_group_name_H-M 'F -4 3 m'
_symmetry_Int_Tables_number 216
_symmetry_space_group_name_Hall 'F -4 2 3'
_cell_length_a 6.2792
_cell_length_b 6.2792
_cell_length_c 6.2792
_cell_angle_alpha 90.00
_cell_angle_beta 90.00
_cell_angle_gamma 90.00
loop_
_atom_site_label
_atom_site_type_symbol
_atom_site_fract_x
_atom_site_fract_y
_atom_site_fract_z
_atom_site_occupancy
Ta1 Ta 0.0000 0.0000 0.0000 1
V1 V 0.2500 0.2500 0.2500 1
Ga1 Ga 0.0000 0.0000 0.5000 1
Re1 Re 0.2500 0.2500 0.7500 1
```

Results
The formation energy from the elements is -0.5 eV/f.u. The calculated density is 13.1 g cm⁻³.

## TaNiOs (GGA-PBE)

Data for a relaxed TaNiOs crystal.

Cell and atoms, written as CIF:
```
data_TaNiOs
_chemical_formula_sum 'Ta4 Ni4 Os4'
_symmetry_space_group_name_H-M 'C 1 2/m 1'
_symmetry_Int_Tables_number 12
_cell_length_a 8.4332
_cell_length_b 3.8808
_cell_length_c 5.5080
_cell_angle_alpha 90.00
_cell_angle_beta 106.19
_cell_angle_gamma 90.00
loop_
_symmetry_equiv_pos_as_xyz
'x,y,z'
'-x,-y,-z'
'-x,y,-z'
'x,-y,z'
'x+1/2,y+1/2,z'
'-x+1/2,-y+1/2,-z'
'-x+1/2,y+1/2,-z'
'x+1/2,-y+1/2,z'
loop_
_atom_site_label
_atom_site_type_symbol
_atom_site_fract_x
_atom_site_fract_y
_atom_site_fract_z
_atom_site_occupancy
Ta1 Ta 0.1559 0.0000 0.3034 1
Ni1 Ni 0.1677 0.0000 0.8278 1
Os1 Os 0.0000 0.5000 0.0000 1
Os2 Os 0.0000 0.5000 0.5000 1
```

Results
The formation energy from the elements is -0.7 eV/f.u. Its energy above the most stable polymorph in this dataset is 96 meV per atom. The calculated density is 16.5 g cm⁻³.

## RbSrAuSe2 (GGA-PBE)

Data for a relaxed RbSrAuSe2 crystal.

Cell and atoms, written as CIF:
```
data_RbSrAuSe2
_chemical_formula_sum 'Rb4 Sr4 Au4 Se8'
_symmetry_space_group_name_H-M 'C m m e'
_symmetry_Int_Tables_number 67
_symmetry_space_group_name_Hall '-C 2a 2'
_cell_length_a 8.3435
_cell_length_b 16.1814
_cell_length_c 5.5236
_cell_angle_alpha 90.00
_cell_angle_beta 90.00
_cell_angle_gamma 90.00
loop_
_atom_site_label
_atom_site_type_symbol
_atom_site_fract_x
_atom_site_fract_y
_atom_site_fract_z
_atom_site_occupancy
Rb1 Rb 0.0000 0.2500 0.2167 1
Sr1 Sr 0.2500 0.0000 0.5000 1
Au1 Au 0.0000 0.0000 0.0000 1
Se1 Se 0.0000 0.1186 0.7214 1
```

Results
Its energy above the most stable polymorph in this dataset is 0 meV per atom. The calculated density is 4.7 g cm⁻³.

## Sr2TiSe2O2 (GGA-PBE)

Data for a relaxed Sr2TiSe2O2 crystal.

Cell and atoms, written as CIF:
```
data_Sr2TiSe2O2
_chemical_formula_sum 'Sr4 Ti2 Se4 O4'
_symmetry_space_group_name_H-M 'I 4/m m m'
_symmetry_Int_Tables_number 139
_symmetry_space_group_name_Hall '-I 4 2'
_cell_length_a 4.1321
_cell_length_b 4.1321
_cell_length_c 15.7955
_cell_angle_alpha 90.00
_cell_angle_beta 90.00
_cell_angle_gamma 90.00
loop_
_atom_site_label
_atom_site_type_symbol
_atom_site_fract_x
_atom_site_fract_y
_atom_site_fract_z
_atom_site_occupancy
Sr1 Sr 0.0000 0.0000 0.1194 1
Ti1 Ti 0.0000 0.0000 0.5000 1
Se1 Se 0.0000 0.0000 0.3337 1
O1 O 0.0000 0.5000 0.0000 1
```

Results
The value obtained for the electronic total energy is -6.3757 eV/atom. The calculated density is 5.1 g cm⁻³.

## TbDy2Sn (GGA-PBE)

Data for a relaxed TbDy2Sn crystal.

Cell and atoms, written as CIF:
```
data_TbDy2Sn
_chemical_formula_sum 'Tb1 Dy2 Sn1'
_symmetry_space_group_name_H-M 'P 4/m m m'
_symmetry_Int_Tables_number 123
_symmetry_space_group_name_Hall '-P 4 2'
_cell_length_a 3.5594
_cell_length_b 3.5594
_cell_length_c 9.3344
_cell_angle_alpha 90.00
_cell_angle_beta 90.00
_cell_angle_gamma 90.00
loop_
_atom_site_label
_atom_site_type_symbol
_atom_site_fract_x
_atom_site_fract_y
_atom_site_fract_z
_atom_site_occupancy
Tb1 Tb 0.0000 0.0000 0.0000 1
Dy1 Dy 0.5000 0.5000 0.2726 1
Sn1 Sn 0.0000 0.0000 0.5000 1
```

Results
The formation energy from the elements is -1.2 eV/f.u. Its energy above the most stable polymorph in this dataset is 122 meV per atom. The calculated density is 8.5 g cm⁻³.

## RbZnCl3 (GGA-PBE)

Data for a relaxed RbZnCl3 crystal.

Cell and atoms, written as CIF:
```
data_RbZnCl3
_chemical_formula_sum 'Rb2 Zn2 Cl6'
_symmetry_space_group_name_H-M 'P -1'
_symmetry_Int_Tables_number 2
_cell_length_a 5.1583
_cell_length_b 7.9307
_cell_length_c 7.9429
_cell_angle_alpha 75.44
_cell_angle_beta 89.07
_cell_angle_gamma 89.06
loop_
_symmetry_equiv_pos_as_xyz
'x,y,z'
'-x,-y,-z'
loop_
_atom_site_label
_atom_site_type_symbol
_atom_site_fract_x
_atom_site_fract_y
_atom_site_fract_z
_atom_site_occupancy
Rb1 Rb 0.2351 0.2948 0.2958 1
Zn1 Zn 0.5000 0.1697 0.8313 1
Cl1 Cl 0.2706 0.4122 0.8318 1
Cl2 Cl 0.2710 0.8292 0.4112 1
Cl3 Cl 0.2733 0.9033 0.9024 1
```

Results
The value obtained for the electronic total energy is -3.0644 eV/atom. The calculated density is 2.7 g cm⁻³.

Q: What is the calculated density in the sixth record?
A: 5.1 g cm⁻³